# SrGaSiPt2

An optimized crystal structure of SrGaSiPt2 (PBE, OQMD via LeMat-Bulk).

Cell: 4.354 4.354 10.287 Å, 90.00 90.00 90.00°
Positions (direct):
Sr (0.250, 0.250, 0.244)
Sr (0.750, 0.750, 0.756)
Ga (0.250, 0.250, 0.633)
Ga (0.750, 0.750, 0.367)
Si (0.250, 0.750, 0.000)
Si (0.750, 0.250, 0.000)
Pt (0.250, 0.250, 0.888)
Pt (0.250, 0.750, 0.500)
Pt (0.750, 0.250, 0.500)
Pt (0.750, 0.750, 0.112)

As for the energy above the lowest structure with this stoichiometry: 0.192 eV per formula unit.